1.
! GGA-PBE Tb12Er7Al, optimized geometry; values from VASP
! Energy of formation, kJ/mol of formula units: 350.5
! Space-group type: R-3 (148)
&SYSTEM
  ibrav = 0, nat = 20, ntyp = 3
/
ATOMIC_SPECIES
Tb 158.93 Tb.upf
Er 167.26 Er.upf
Al 26.98 Al.upf
CELL_PARAMETERS angstrom
6.1122 3.5289 5.0060
-6.1122 3.5289 5.0060
0.0000 -7.0577 5.0060
ATOMIC_POSITIONS crystal
Tb 0.1280 0.3351 0.4711
Tb 0.2120 0.6202 0.7648
Tb 0.2352 0.7880 0.3798
Tb 0.3351 0.4711 0.1280
Tb 0.3798 0.2352 0.7880
Tb 0.4711 0.1280 0.3351
Tb 0.5289 0.8720 0.6649
Tb 0.6202 0.7648 0.2120
Tb 0.6649 0.5289 0.8720
Tb 0.7648 0.2120 0.6202
Tb 0.7880 0.3798 0.2352
Tb 0.8720 0.6649 0.5289
Er 0.0113 0.3211 0.8991
Er 0.1009 0.9887 0.6789
Er 0.3211 0.8991 0.0113
Er 0.5000 0.5000 0.5000
Er 0.6789 0.1009 0.9887
Er 0.8991 0.0113 0.3211
Er 0.9887 0.6789 0.1009
Al 0.0000 0.0000 0.0000

***

2.
! GGA-PBE Tb7Er12Al, optimized geometry; values from VASP
! Energy of formation, kJ/mol of formula units: 360.9
! Space-group type: R-3 (148)
&SYSTEM
  ibrav = 0, nat = 20, ntyp = 3
/
ATOMIC_SPECIES
Tb 158.93 Tb.upf
Er 167.26 Er.upf
Al 26.98 Al.upf
CELL_PARAMETERS angstrom
5.9057 3.4097 5.1830
-5.9057 3.4097 5.1830
0.0000 -6.8194 5.1830
ATOMIC_POSITIONS crystal
Tb 0.0000 0.0000 0.0000
Tb 0.1082 0.4229 0.3554
Tb 0.3554 0.1082 0.4229
Tb 0.4229 0.3554 0.1082
Tb 0.5771 0.6446 0.8918
Tb 0.6446 0.8918 0.5771
Tb 0.8918 0.5771 0.6446
Er 0.0031 0.1120 0.6409
Er 0.1120 0.6409 0.0031
Er 0.2474 0.3647 0.7445
Er 0.2555 0.7526 0.6353
Er 0.3591 0.9969 0.8880
Er 0.3647 0.7445 0.2474
Er 0.6353 0.2555 0.7526
Er 0.6409 0.0031 0.1120
Er 0.7445 0.2474 0.3647
Er 0.7526 0.6353 0.2555
Er 0.8880 0.3591 0.9969
Er 0.9969 0.8880 0.3591
Al 0.5000 0.5000 0.5000

***

- Among the records above, which one has the lowest energy of formation?
  Tb12Er7Al

***

- energy of formation of number 2 (Tb7Er12Al)?
  360.9 kJ/mol of formula units

***

- What is the formula in the first record?
  Tb12Er7Al